1) Here is crystalline Rb2VSe4 at its relaxed geometry from Alexandria via LeMat-Bulk. Energies are from GGA-PBE.

Output
- spin magnetization (μB per formula unit) = 0.00

```
data_Rb2VSe4
_chemical_formula_sum 'Rb4 V2 Se8'
_symmetry_space_group_name_H-M 'P 1 21/m 1'
_symmetry_Int_Tables_number 11
_cell_length_a 7.8374
_cell_length_b 6.1231
_cell_length_c 11.2841
_cell_angle_alpha 90.00
_cell_angle_beta 102.02
_cell_angle_gamma 90.00
loop_
_symmetry_equiv_pos_as_xyz
'x,y,z'
'-x,-y,-z'
'-x,y+1/2,-z'
'x,-y+1/2,z'
loop_
_atom_site_label
_atom_site_type_symbol
_atom_site_fract_x
_atom_site_fract_y
_atom_site_fract_z
Rb1 Rb 0.2201 0.2500 0.0624
Rb2 Rb 0.2586 0.2500 0.5280
V1 V 0.2251 0.7500 0.7807
Se1 Se 0.0114 0.0204 0.7310
Se2 Se 0.3467 0.7500 0.9791
Se3 Se 0.4292 0.7500 0.6637
```

=====

2) Here is crystalline Rb2VSe4 at its relaxed geometry from Alexandria via LeMat-Bulk. Energies are from GGA-PBE.

Output
- spin magnetization (μB per formula unit) = 0.86

```
data_Rb2VSe4
_chemical_formula_sum 'Rb4 V2 Se8'
_symmetry_space_group_name_H-M 'I 4/m m m'
_symmetry_Int_Tables_number 139
_symmetry_space_group_name_Hall '-I 4 2'
_cell_length_a 4.9960
_cell_length_b 4.9960
_cell_length_c 17.2575
_cell_angle_alpha 90.00
_cell_angle_beta 90.00
_cell_angle_gamma 90.00
loop_
_atom_site_label
_atom_site_type_symbol
_atom_site_fract_x
_atom_site_fract_y
_atom_site_fract_z
Rb1 Rb 0.0000 0.0000 0.1498
V1 V 0.0000 0.0000 0.5000
Se1 Se 0.0000 0.0000 0.3580
Se2 Se 0.0000 0.5000 0.0000
```

=====

The structure with the most favorable energy is 1); the runner-up is 212 meV per atom above it.

=====

1) Here is crystalline RbVSe3 at its relaxed geometry from Alexandria via LeMat-Bulk. Energies are from GGA-PBE.

Output
- spin magnetization (μB per formula unit) = 0.00

```
data_RbVSe3
_chemical_formula_sum 'Rb4 V4 Se12'
_symmetry_space_group_name_H-M 'C 1 2/m 1'
_symmetry_Int_Tables_number 12
_cell_length_a 18.9624
_cell_length_b 4.7092
_cell_length_c 7.7848
_cell_angle_alpha 90.00
_cell_angle_beta 104.05
_cell_angle_gamma 90.00
loop_
_symmetry_equiv_pos_as_xyz
'x,y,z'
'-x,-y,-z'
'-x,y,-z'
'x,-y,z'
'x+1/2,y+1/2,z'
'-x+1/2,-y+1/2,-z'
'-x+1/2,y+1/2,-z'
'x+1/2,-y+1/2,z'
loop_
_atom_site_label
_atom_site_type_symbol
_atom_site_fract_x
_atom_site_fract_y
_atom_site_fract_z
Rb1 Rb 0.0959 0.0000 0.2483
V1 V 0.1753 0.5000 0.8276
Se1 Se 0.0569 0.5000 0.8298
Se2 Se 0.1923 0.5000 0.5552
Se3 Se 0.2032 0.0000 0.9415
```

=====

2) Here is crystalline RbVSe3 at its relaxed geometry from Alexandria via LeMat-Bulk. Energies are from GGA-PBE.

Output
- spin magnetization (μB per formula unit) = 0.40

```
data_RbVSe3
_chemical_formula_sum 'Rb1 V1 Se3'
_symmetry_space_group_name_H-M 'P m -3 m'
_symmetry_Int_Tables_number 221
_symmetry_space_group_name_Hall '-P 4 2 3'
_cell_length_a 4.9927
_cell_length_b 4.9927
_cell_length_c 4.9927
_cell_angle_alpha 90.00
_cell_angle_beta 90.00
_cell_angle_gamma 90.00
loop_
_atom_site_label
_atom_site_type_symbol
_atom_site_fract_x
_atom_site_fract_y
_atom_site_fract_z
Rb1 Rb 0.0000 0.0000 0.0000
V1 V 0.5000 0.5000 0.5000
Se1 Se 0.0000 0.5000 0.5000
```

=====

3) Here is crystalline RbVSe3 at its relaxed geometry from Alexandria via LeMat-Bulk. Energies are from GGA-PBE.

Output
- spin magnetization (μB per formula unit) = 0.05

```
data_RbVSe3
_chemical_formula_sum 'Rb1 V1 Se3'
_symmetry_space_group_name_H-M 'P m -3 m'
_symmetry_Int_Tables_number 221
_symmetry_space_group_name_Hall '-P 4 2 3'
_cell_length_a 5.8678
_cell_length_b 5.8678
_cell_length_c 5.8678
_cell_angle_alpha 90.00
_cell_angle_beta 90.00
_cell_angle_gamma 90.00
loop_
_atom_site_label
_atom_site_type_symbol
_atom_site_fract_x
_atom_site_fract_y
_atom_site_fract_z
Rb1 Rb 0.0000 0.0000 0.0000
V1 V 0.5000 0.5000 0.5000
Se1 Se 0.0000 0.0000 0.5000
```

=====

The structure with the most favorable energy is 1); the runner-up is 185 meV per atom above it.

=====

1) Here is crystalline RbV4Se8 at its relaxed geometry from Alexandria via LeMat-Bulk. Energies are from GGA-PBE.

Output
- spin magnetization (μB per formula unit) = 5.07

```
data_RbV4Se8
_chemical_formula_sum 'Rb2 V8 Se16'
_symmetry_space_group_name_H-M 'C 1 2/m 1'
_symmetry_Int_Tables_number 12
_cell_length_a 17.2060
_cell_length_b 3.5878
_cell_length_c 12.0798
_cell_angle_alpha 90.00
_cell_angle_beta 129.78
_cell_angle_gamma 90.00
loop_
_symmetry_equiv_pos_as_xyz
'x,y,z'
'-x,-y,-z'
'-x,y,-z'
'x,-y,z'
'x+1/2,y+1/2,z'
'-x+1/2,-y+1/2,-z'
'-x+1/2,y+1/2,-z'
'x+1/2,-y+1/2,z'
loop_
_atom_site_label
_atom_site_type_symbol
_atom_site_fract_x
_atom_site_fract_y
_atom_site_fract_z
Rb1 Rb 0.0000 0.0000 0.0000
V1 V 0.1546 0.0000 0.4787
V2 V 0.1657 0.5000 0.8466
Se1 Se 0.0380 0.0000 0.7373
Se2 Se 0.1218 0.5000 0.5879
Se3 Se 0.1601 0.5000 0.3317
Se4 Se 0.2060 0.5000 0.0834
```

=====

2) Here is crystalline RbV4Se8 at its relaxed geometry from Alexandria via LeMat-Bulk. Energies are from GGA-PBE.

Output
- spin magnetization (μB per formula unit) = 5.14

```
data_RbV4Se8
_chemical_formula_sum 'Rb4 V16 Se32'
_symmetry_space_group_name_H-M 'F -4 3 m'
_symmetry_Int_Tables_number 216
_symmetry_space_group_name_Hall 'F -4 2 3'
_cell_length_a 10.8607
_cell_length_b 10.8607
_cell_length_c 10.8607
_cell_angle_alpha 90.00
_cell_angle_beta 90.00
_cell_angle_gamma 90.00
loop_
_atom_site_label
_atom_site_type_symbol
_atom_site_fract_x
_atom_site_fract_y
_atom_site_fract_z
Rb1 Rb 0.0000 0.0000 0.0000
V1 V 0.1113 0.1113 0.6113
Se1 Se 0.1213 0.1213 0.3787
Se2 Se 0.1524 0.1524 0.8476
```

=====

The structure with the most favorable energy is 1); the runner-up is 200 meV per atom above it.

=====

1) Here is crystalline RbZnSe3 at its relaxed geometry from Alexandria via LeMat-Bulk. Energies are from GGA-PBE.

Output
- spin magnetization (μB per formula unit) = 0.00

```
data_RbZnSe3
_chemical_formula_sum 'Rb1 Zn1 Se3'
_symmetry_space_group_name_H-M 'P m -3 m'
_symmetry_Int_Tables_number 221
_symmetry_space_group_name_Hall '-P 4 2 3'
_cell_length_a 5.1348
_cell_length_b 5.1348
_cell_length_c 5.1348
_cell_angle_alpha 90.00
_cell_angle_beta 90.00
_cell_angle_gamma 90.00
loop_
_atom_site_label
_atom_site_type_symbol
_atom_site_fract_x
_atom_site_fract_y
_atom_site_fract_z
Rb1 Rb 0.0000 0.0000 0.0000
Zn1 Zn 0.5000 0.5000 0.5000
Se1 Se 0.0000 0.5000 0.5000
```

=====

2) Here is crystalline RbZnSe3 at its relaxed geometry from Alexandria via LeMat-Bulk. Energies are from GGA-PBE.

Output
- spin magnetization (μB per formula unit) = 5.00

```
data_RbZnSe3
_chemical_formula_sum 'Rb1 Zn1 Se3'
_symmetry_space_group_name_H-M 'P m -3 m'
_symmetry_Int_Tables_number 221
_symmetry_space_group_name_Hall '-P 4 2 3'
_cell_length_a 6.6414
_cell_length_b 6.6414
_cell_length_c 6.6414
_cell_angle_alpha 90.00
_cell_angle_beta 90.00
_cell_angle_gamma 90.00
loop_
_atom_site_label
_atom_site_type_symbol
_atom_site_fract_x
_atom_site_fract_y
_atom_site_fract_z
Rb1 Rb 0.0000 0.0000 0.0000
Zn1 Zn 0.5000 0.5000 0.5000
Se1 Se 0.0000 0.0000 0.5000
```

=====

The structure with the most favorable energy is 1); the runner-up is 1181 meV per atom above it.